Density functional theory data (PBE) for a relaxed structure of Ti2Zn2Au5.

Structure (POSCAR):
```
Ti2Zn2Au5
1.0
7.297 -3.304 0.000
7.297 3.304 0.000
0.000 0.000 6.658
Ti Zn Au
4 4 10
Cartesian
3.204 0.000 0.000
4.093 0.000 3.329
10.501 0.000 3.329
11.391 0.000 0.000
7.297 2.433 4.219
7.297 0.871 0.890
7.297 -0.871 5.768
7.297 -2.433 2.439
0.000 0.000 0.000
5.314 2.127 2.188
5.314 1.176 5.517
9.280 2.127 2.188
9.280 1.176 5.517
7.297 0.000 3.329
5.314 -1.176 1.141
5.314 -2.127 4.470
9.280 -1.176 1.141
9.280 -2.127 4.470
```

Properties
Its symmetry is No. 64. The total magnetic moment is 0.04 μB per atom. The value obtained for the volume is 17.834 Å³/atom. The calculation puts the density of states at the Fermi level at 0.50 states/eV/atom. The calculation puts the energy of formation at -0.14 eV per atom.